Compound: Si2PtW
Source: Alexandria
Functional: meta-GGA SCAN
Structure: single point on PBEsol structure

Calculated values
electronic total energy: -40.066 eV/atom
spin magnetization: 0.00 μB per atom
E above lowest polymorph: 0.70 eV/f.u.
energy relative to the elements, uncorrected: -0.088 eV/atom

a = 8.232 Å, b = 8.232 Å, c = 8.232 Å
α = 19.90°, β = 19.90°, γ = 19.90°
Atoms (fractional coordinates):
Si1 0.249 0.249 0.249
Si2 0.751 0.751 0.751
Pt1 0.500 0.500 0.500
W1 0.000 0.000 0.000


Compound: LiSi2Hg
Source: Alexandria
Functional: meta-GGA SCAN
Structure: single point on PBEsol structure

Calculated values
electronic total energy: -22.300 eV/atom
spin magnetization: 0.00 μB per atom
energy relative to the elements, uncorrected: 0.347 eV/atom

a = 2.807 Å, b = 4.673 Å, c = 5.206 Å
α = 90.00°, β = 90.00°, γ = 90.00°
Atoms (fractional coordinates):
Li1 0.000 0.000 0.000
Si1 0.500 0.500 0.236
Si2 0.500 0.500 0.764
Hg1 0.000 0.000 0.500